PBE BaCuNi2C, relaxed; crystal system = tetragonal; SG = P4/mmm; VASP energy = -2.77 eV/atom
1.0
4.942 0.000 0.000
0.000 4.942 0.000
0.000 0.000 4.628
Ba Cu Ni C
1 1 2 1
direct
0.000 0.000 0.000
0.500 0.500 0.500
0.000 0.500 0.000
0.500 0.000 0.000
0.000 0.000 0.500



PBE BaAgO3, relaxed; crystal system = orthorhombic; SG = Pnma; VASP energy = -4.66 eV/atom
1.0
6.730 0.000 0.000
0.000 7.092 0.000
0.000 0.000 6.860
Ba Ag O
4 4 12
direct
0.000 0.000 0.000
0.000 0.500 0.000
0.500 0.000 0.500
0.500 0.500 0.500
0.025 0.250 0.469
0.475 0.750 0.969
0.525 0.250 0.031
0.975 0.750 0.531
0.123 0.548 0.370
0.123 0.952 0.370
0.245 0.750 0.760
0.255 0.250 0.260
0.377 0.048 0.870
0.377 0.452 0.870
0.623 0.548 0.130
0.623 0.952 0.130
0.745 0.750 0.740
0.755 0.250 0.240
0.877 0.048 0.630
0.877 0.452 0.630



PBE YAgOF2, relaxed; crystal system = tetragonal; SG = P4/mmm; distance to the lowest polymorph of the same formula = 0.0 meV/atom
1.0
4.392 0.000 0.000
0.000 4.392 0.000
0.000 0.000 4.429
Y Ag O F
1 1 1 2
direct
0.000 0.000 0.000
0.500 0.500 0.500
0.000 0.000 0.500
0.000 0.500 0.000
0.500 0.000 0.000



PBE RbTlIrF6, relaxed; crystal system = trigonal; SG = P-31c; VASP energy = -4.54 eV/atom
1.0
6.786 0.000 0.000
-3.393 5.877 0.000
0.000 0.000 8.738
Rb Tl Ir F
2 2 2 12
direct
0.333 0.667 0.250
0.667 0.333 0.750
0.000 0.000 0.000
0.000 0.000 0.500
0.333 0.667 0.750
0.667 0.333 0.250
0.094 0.422 0.624
0.094 0.671 0.876
0.329 0.422 0.876
0.329 0.906 0.624
0.422 0.094 0.124
0.422 0.329 0.376
0.578 0.671 0.624
0.578 0.906 0.876
0.671 0.094 0.376
0.671 0.578 0.124
0.906 0.329 0.124
0.906 0.578 0.376